Material: Rb2NiSnO
Method: DFT, PBE with a Hubbard U
State: optimized geometry

Properties
For the electronic total energy, the calculation gives -14.55 eV for the cell shown. The size of the total moment comes out at 1.37 μB per formula unit.

Cell lengths 6.7008, 6.7008, 3.5003 Å; angles 90.00, 90.00, 90.00 degrees
With the nearest neighbours (Å) after each atom.
Positions (direct):
Rb 0.0000 0.5000 0.0000  2 O 3.35, 2 Rb 3.50
Rb 0.5000 0.0000 0.0000  2 O 3.35, 2 Rb 3.50
Ni 0.0000 0.0000 0.5000  2 O 1.75
Sn 0.5000 0.5000 0.5000  2 Sn 3.50, 8 Rb 3.78
O 0.0000 0.0000 0.0000  2 Ni 1.75